The following is a DFT calculation (PBE with a Hubbard U) of a relaxed Fe2PbO crystal.

Structure (POSCAR):
```
Fe2PbO
1.0
0.000 3.196 3.196
3.196 0.000 3.196
3.196 3.196 0.000
Fe Pb O
2 1 1
Cartesian
4.794 4.794 4.794 Fe
1.598 1.598 1.598 Fe
3.196 3.196 3.196 Pb
0.000 0.000 0.000 O
```

Calculated values
- Volume: 16.33 A^3/atom
- ΔE to the lowest computed polymorph: 3.95 eV/f.u.
- Space group: Fm-3m
- Density of states at the Fermi level: 0.324 states/eV/atom
- Size of the total moment: 5.9 μB/cell
- Electronic total energy: -4.231 eV/atom